# PBE KIn2Si, optimized geometry
# - Calculated volume: 30.25 Å³/atom
# - Final energy: -2.75 eV per atom
# - Uncorrected formation energy: 247.1 meV/atom
data_KIn2Si
_space_group_name_H-M_alt 'I m m 2'
_space_group_IT_number 44
_cell_length_a 4.4236
_cell_length_b 6.0403
_cell_length_c 9.0584
_cell_angle_alpha 90.00
_cell_angle_beta 90.00
_cell_angle_gamma 90.00
loop_
_space_group_symop_operation_xyz
'x,y,z'
'-x,-y,z'
'-x,y,z'
'x,-y,z'
'x+1/2,y+1/2,z+1/2'
'-x+1/2,-y+1/2,z+1/2'
'-x+1/2,y+1/2,z+1/2'
'x+1/2,-y+1/2,z+1/2'
loop_
_atom_site_label
_atom_site_type_symbol
_atom_site_fract_x
_atom_site_fract_y
_atom_site_fract_z
_atom_site_occupancy
K1 K 0.0000 0.0000 0.0000 1
In1 In 0.0000 0.0000 0.4418 1
In2 In 0.0000 0.5000 0.1956 1
Si1 Si 0.0000 0.5000 0.7835 1